Here is a relaxed structure of ZrCo2F from the Alexandria database. Energies are from GGA+U.

Cell lengths 4.457, 4.457, 4.457 Å; angles 60.00, 60.00, 60.00 degrees
Atoms (fractional coordinates):
Zr  0.000  0.000  0.000
Co  0.250  0.250  0.250
Co  0.750  0.750  0.750
F  0.500  0.500  0.500

Calculated values
- spin magnetization (μB per atom) = 0.75
- crystal system = cubic
- excess energy over the best structure of this formula in the dataset (meV per atom) = 471
- Fermi-level density of states (states/eV per cell) = 3.9